## Y3TiTl3Se8 (PBE)

Data for a relaxed structure of Y3TiTl3Se8.

Output
Symmetry = R-3m, No. 166
Raw formation energy = -1.308 eV/atom

Lattice parameters (Å, degrees): 8.1267 8.1256 9.1457 116.38 90.00 120.01
Last column: nearest neighbours and their distance in Å.
Atoms (fractional coordinates):
Se 0.2178 0.9761 0.6938  1 Ti 2.64, 2 Y 2.88
Se 0.2418 0.0239 0.3061  1 Ti 2.64, 2 Y 2.88
Se 0.7821 0.5643 0.3061  1 Ti 2.64, 2 Y 2.88
Se 0.7357 0.4713 0.7069  3 Y 2.85
Se 0.7582 0.9761 0.6939  1 Ti 2.64, 2 Y 2.88
Se 0.2643 0.5287 0.2931  3 Y 2.85
Se 0.7822 0.0239 0.3062  1 Ti 2.64, 2 Y 2.88
Se 0.2179 0.4357 0.6939  1 Ti 2.64, 2 Y 2.88
Y 0.5000 0.5000 0.5000  6 Se 2.85-2.88
Y 0.0000 0.5000 0.5000  6 Se 2.85-2.88
Y 0.5000 0.0000 0.5000  6 Se 2.85-2.88
Tl 0.0000 0.5000 0.0000  6 Se 3.29-3.30
Tl 0.5000 0.5000 0.0000  6 Se 3.29-3.30
Tl 0.0000 0.0000 0.0000  6 Se 3.28-3.30
Ti 0.0000 0.0000 0.5000  6 Se 2.64

## ZrTi2Tl3Se6 (PBE)

Data for a relaxed structure of ZrTi2Tl3Se6.

Output
Density of states at the Fermi level = 9.4 states/eV per cell
Symmetry = C2/m, No. 12
Raw formation energy = -0.906 eV/atom

Lattice parameters (Å, degrees): 6.3272 6.3272 8.9740 96.72 96.72 119.99
Last column: nearest neighbours and their distance in Å.
Atoms (fractional coordinates):
Se 0.4065 0.0601 0.1808  2 Ti 2.60, 1 Zr 2.70
Se 0.0601 0.4065 0.1808  2 Ti 2.60, 1 Zr 2.70
Se 0.7135 0.7135 0.1803  2 Ti 2.60, 1 Zr 2.70
Se 0.2865 0.2865 0.8197  2 Ti 2.60, 1 Zr 2.70
Se 0.9399 0.5935 0.8192  2 Ti 2.60, 1 Zr 2.70
Se 0.5935 0.9399 0.8192  2 Ti 2.60, 1 Zr 2.70
Ti 0.6667 0.3333 0.0000  6 Se 2.60
Ti 0.3333 0.6667 0.0000  6 Se 2.60
Tl 0.8349 0.1651 0.5000  6 Se 3.45-3.52, 6 Tl 3.62-3.67
Tl 0.1651 0.8349 0.5000  6 Se 3.45-3.52, 6 Tl 3.62-3.67
Tl 0.5000 0.5000 0.5000  6 Se 3.44-3.52, 6 Tl 3.64-3.67
Zr 0.0000 0.0000 0.0000  6 Se 2.70

## TmTiSe2 (PBE)

Data for a relaxed structure of TmTiSe2.

Output
Density of states at the Fermi level = 2.6 states/eV per cell
Symmetry = R-3m, No. 166
Raw formation energy = -1.250 eV/atom

Lattice parameters (Å, degrees): 3.8922 3.8922 6.6295 72.93 72.93 60.00
Last column: nearest neighbours and their distance in Å.
Atoms (fractional coordinates):
Ti 0.0000 0.0000 0.0000  6 Se 2.67
Tm 0.5000 0.5000 0.5000  6 Se 2.81
Se 0.7433 0.7433 0.7700  3 Ti 2.67, 3 Tm 2.81
Se 0.2567 0.2567 0.2300  3 Ti 2.67, 3 Tm 2.81

## Tm2TiSe4 (PBE)

Data for a relaxed structure of Tm2TiSe4.

Output
Density of states at the Fermi level = 4.6 states/eV per cell
Symmetry = C2/m, No. 12
Raw formation energy = -1.552 eV/atom

Lattice parameters (Å, degrees): 3.9389 7.0666 7.4847 119.08 105.26 90.00
Last column: nearest neighbours and their distance in Å.
Atoms (fractional coordinates):
Ti 0.0000 0.0000 0.0000  6 Se 2.65-2.73
Tm 0.2661 0.2528 0.5322  6 Se 2.77-2.89
Tm 0.7339 0.7472 0.4678  6 Se 2.77-2.89
Se 0.6261 0.2767 0.2521  2 Ti 2.73, 3 Tm 2.87-2.89
Se 0.3739 0.7233 0.7479  2 Ti 2.73, 3 Tm 2.87-2.89
Se 0.8866 0.2004 0.7732  1 Ti 2.65, 3 Tm 2.77-2.83
Se 0.1134 0.7996 0.2268  1 Ti 2.65, 3 Tm 2.77-2.83

## TmTi2Se4 (PBE)

Data for a relaxed structure of TmTi2Se4.

Output
Density of states at the Fermi level = 10.4 states/eV per cell
Symmetry = Cmcm, No. 63
Raw formation energy = -1.277 eV/atom

Lattice parameters (Å, degrees): 3.7606 6.4289 13.1014 90.00 90.00 107.01
Last column: nearest neighbours and their distance in Å.
Atoms (fractional coordinates):
Se 0.2288 0.4576 0.8869  3 Ti 2.67-2.71, 2 Tm 2.87
Se 0.0410 0.0820 0.2500  2 Ti 2.63, 2 Tm 2.82
Se 0.9590 0.9180 0.7500  2 Ti 2.63, 2 Tm 2.82
Se 0.5000 0.0000 0.0000  4 Ti 2.55
Se 0.2288 0.4576 0.6131  3 Ti 2.67-2.71, 2 Tm 2.87
Se 0.7712 0.5424 0.3869  3 Ti 2.67-2.71, 2 Tm 2.87
Se 0.7712 0.5424 0.1131  3 Ti 2.67-2.71, 2 Tm 2.87
Se 0.5000 0.0000 0.5000  4 Ti 2.55
Tm 0.6300 0.2601 0.7500  6 Se 2.82-2.87
Tm 0.3700 0.7399 0.2500  6 Se 2.82-2.87
Ti 0.8782 0.7564 0.9359  6 Se 2.55-2.71
Ti 0.1218 0.2436 0.0641  6 Se 2.55-2.71
Ti 0.8782 0.7564 0.5641  6 Se 2.55-2.71
Ti 0.1218 0.2436 0.4359  6 Se 2.55-2.71

## TmTiSe3 (PBE)

Data for a relaxed structure of TmTiSe3.

Output
Density of states at the Fermi level = 6.4 states/eV per cell
Symmetry = Cmc2_1, No. 36
Raw formation energy = -1.326 eV/atom

Lattice parameters (Å, degrees): 4.1240 6.5876 11.1309 90.00 100.68 90.00
Last column: nearest neighbours and their distance in Å.
Atoms (fractional coordinates):
Se 0.5701 0.2896 0.1402  2 Ti 2.47
Se 0.1144 0.7983 0.2289  1 Ti 2.44
Se 0.8856 0.2983 0.7711  1 Ti 2.44
Se 0.7798 0.7650 0.5595  1 Ti 2.52
Se 0.4299 0.7896 0.8598  2 Ti 2.47
Se 0.2202 0.2650 0.4405  1 Ti 2.52
Ti 0.8838 0.9280 0.7675  4 Se 2.44-2.52
Ti 0.1162 0.4280 0.2325  4 Se 2.44-2.52
Tm 0.3286 0.5133 0.6573  6 Se 2.79-2.88
Tm 0.6714 0.0133 0.3427  6 Se 2.79-2.88

no.,total DFT energy (no corrections) (eV/cell)
1,-81.88
2,-63.21
3,-24.34
4,-41.64
5,-86.28
6,-58.90